P.
Entry from Alexandria via LeMat-Bulk: crystalline Pm4Nd7Ho at its relaxed geometry (PBE).

extended XYZ file:
```
12
Lattice="6.3767 0.0000 0.0000 0.0017 7.3710 0.0000 2.1337 0.0071 8.8673" Properties=species:S:1:pos:R:3 pbc="T T T"
Pm 2.1343 0.0036 2.9529
Pm 3.1977 5.5278 5.9375
Pm 5.3144 1.8504 2.9298
Pm 6.3777 7.3746 5.9144
Nd 0.0000 0.0000 0.0000
Nd 2.1236 3.6892 2.9495
Nd 3.1988 1.8488 5.9340
Nd 3.1907 1.8490 0.0030
Nd 5.3213 5.5292 8.8643
Nd 5.3132 5.5294 2.9333
Nd 6.3884 3.6890 5.9178
Ho 0.0008 3.6855 0.0000
```

Properties
- SG = No. 2
- mass density (g/cm3) = 7.0

---

Q.
Entry from Alexandria via LeMat-Bulk: crystalline Pm4Nd7Ho at its relaxed geometry (PBE).

extended XYZ file:
```
12
Lattice="8.2152 -3.0413 0.0000 8.2152 3.0413 0.0000 -4.1276 0.0000 8.4758" Properties=species:S:1:pos:R:3 pbc="T T T"
Pm 0.3873 0.0000 1.6900
Pm -0.8207 0.0000 7.5356
Pm 13.1235 0.0000 0.9403
Pm 11.9155 0.0000 6.7859
Nd -2.0638 0.0000 4.2379
Nd 2.2120 0.0000 5.2915
Nd 3.6652 0.0000 2.3382
Nd 6.6185 0.0000 0.5375
Nd 5.6844 0.0000 7.9383
Nd 8.6377 0.0000 6.1377
Nd 10.0908 0.0000 3.1843
Ho 6.1514 0.0000 4.2379
```

Properties
- SG = No. 12
- mass density (g/cm3) = 6.9

---

Relative energies, meV/atom: P 0; Q 200.

---

P.
Entry from Alexandria via LeMat-Bulk: crystalline PmNd4Ho7 at its relaxed geometry (PBE).

extended XYZ file:
```
12
Lattice="6.0745 -2.9584 0.0000 6.0745 2.9584 0.0000 -6.0038 0.0000 11.3186" Properties=species:S:1:pos:R:3 pbc="T T T"
Pm 0.0000 0.0000 0.0000
Nd -1.2577 0.0000 7.5760
Nd 3.0802 0.0000 2.5250
Nd 3.0651 0.0000 8.7936
Nd 7.4030 0.0000 3.7427
Ho -1.0757 0.0000 3.5816
Ho -2.9804 0.0000 10.4488
Ho 1.4436 0.0000 5.7003
Ho 6.0745 0.0000 0.0000
Ho 4.7016 0.0000 5.6184
Ho 9.1256 0.0000 0.8698
Ho 7.2210 0.0000 7.7370
```

Properties
- SG = No. 12
- mass density (g/cm3) = 7.7

---

Q.
Entry from Alexandria via LeMat-Bulk: crystalline PmNd4Ho7 at its relaxed geometry (PBE).

extended XYZ file:
```
12
Lattice="6.5948 0.0000 0.0000 1.0243 6.7966 0.0000 2.0104 0.5602 8.8382" Properties=species:S:1:pos:R:3 pbc="T T T"
Pm 0.0000 0.0000 0.0000
Nd 2.3349 4.3426 2.7352
Nd 4.0201 1.7089 6.3075
Nd 5.6093 5.6479 2.5307
Nd 7.2946 3.0142 6.1030
Ho 0.5121 3.3983 0.0000
Ho 2.1070 0.9311 3.3830
Ho 4.1219 5.1230 5.6831
Ho 3.5658 1.7202 0.4324
Ho 6.0636 5.6366 8.4058
Ho 5.5075 2.2338 3.1551
Ho 7.5225 6.4257 5.4552
```

Properties
- SG = No. 2
- mass density (g/cm3) = 7.9

---

Relative energies, meV/atom: P 172; Q 0.

---

P.
Entry from Alexandria via LeMat-Bulk: crystalline Pm3NdHo at its relaxed geometry (PBE).

extended XYZ file:
```
10
Lattice="10.2714 0.0000 0.0000 0.0000 4.8706 3.4924 0.0000 -4.8706 3.4924" Properties=species:S:1:pos:R:3 pbc="T T T"
Pm 0.6662 -3.4002 3.4924
Pm 2.5678 -0.8971 5.1571
Pm 4.4695 -3.4002 3.4924
Pm 5.8019 3.4002 3.4924
Pm 7.7035 0.8971 5.1571
Pm 9.6052 3.4002 3.4924
Nd 2.5678 2.9682 4.7678
Nd 7.7035 -2.9682 4.7678
Ho 0.0000 0.0000 3.1823
Ho 5.1357 0.0000 3.1823
```

Properties
- SG = No. 40
- mass density (g/cm3) = 7.1

---

Q.
Entry from Alexandria via LeMat-Bulk: crystalline Pm3NdHo at its relaxed geometry (PBE).

extended XYZ file:
```
10
Lattice="8.7962 -3.4150 0.0000 8.7962 3.4150 0.0000 -2.0912 0.0000 5.7186" Properties=species:S:1:pos:R:3 pbc="T T T"
Pm 4.8489 1.8208 3.4134
Pm 4.7530 0.0000 0.1354
Pm 10.6522 1.8208 2.3052
Pm 4.8489 -1.8208 3.4134
Pm 10.7482 0.0000 5.5832
Pm 10.6522 -1.8208 2.3052
Nd 8.7962 0.0000 0.0000
Nd 7.7506 0.0000 2.8593
Ho -0.7819 0.0000 4.5781
Ho 16.2831 0.0000 1.1405
```

Properties
- SG = No. 12
- mass density (g/cm3) = 7.2

---

Relative energies, meV/atom: P 25; Q 0.

---

P.
Entry from Alexandria via LeMat-Bulk: crystalline Pm5Nd2Ho2 at its relaxed geometry (PBE).

extended XYZ file:
```
18
Lattice="-7.4995 5.9808 3.4280 7.4995 -5.9808 3.4280 7.4995 5.9808 -3.4280" Properties=species:S:1:pos:R:3 pbc="T T T"
Pm 3.7497 3.0806 -1.3702
Pm 9.6459 2.8093 -1.1639
Pm 5.3530 -3.1715 2.2641
Pm 0.7918 2.9762 0.0000
Pm 6.7077 2.9762 0.0000
Pm 3.7497 2.9002 2.0579
Pm -2.1465 3.1715 2.2641
Pm 9.6459 3.1715 2.2641
Pm 0.7918 3.0046 3.4280
Pm 6.7077 3.0046 3.4280
Nd 1.8944 -0.0349 1.0309
Nd 5.6051 -0.0349 1.0309
Nd 5.6051 6.0157 -2.3972
Nd 9.3938 0.0349 1.0309
Ho 3.7497 -0.1030 4.1800
Ho 3.7497 6.0837 0.7520
Ho 0.0000 5.9808 1.2291
Ho 0.0000 0.0000 4.6571
```

Properties
- SG = No. 46
- mass density (g/cm3) = 7.3

---

Q.
Entry from Alexandria via LeMat-Bulk: crystalline Pm5Nd2Ho2 at its relaxed geometry (PBE).

extended XYZ file:
```
9
Lattice="8.7852 -1.7836 0.0000 8.7852 1.7836 0.0000 -1.6561 0.0000 9.7353" Properties=species:S:1:pos:R:3 pbc="T T T"
Pm 0.0000 0.0000 0.0000
Pm 1.8476 0.0000 5.2450
Pm 4.6224 0.0000 7.5954
Pm 11.2920 0.0000 2.1399
Pm 14.0667 0.0000 4.4903
Nd 5.4860 0.0000 1.2027
Nd 10.4283 0.0000 8.5327
Ho 8.1919 0.0000 3.2282
Ho 7.7224 0.0000 6.5072
```

Properties
- SG = No. 12
- mass density (g/cm3) = 7.3

---

Relative energies, meV/atom: P 158; Q 0.

---

P.
Entry from Alexandria via LeMat-Bulk: crystalline Pm2NdHo5 at its relaxed geometry (PBE).

extended XYZ file:
```
16
Lattice="7.1519 0.0000 0.0000 0.0000 14.3104 0.0000 0.0000 0.0000 5.0497" Properties=species:S:1:pos:R:3 pbc="T T T"
Pm 1.7706 1.8008 0.0000
Pm 1.8053 8.9560 0.0000
Pm 5.3466 5.3544 0.0000
Pm 5.3813 12.5096 0.0000
Nd 0.0000 7.1552 2.5248
Nd 3.5760 0.0000 2.5248
Ho 0.0000 0.0000 2.5248
Ho 0.0166 10.7466 2.5248
Ho 1.7775 5.3584 0.0000
Ho 1.7984 12.5136 0.0000
Ho 3.5594 3.5914 2.5248
Ho 3.5760 7.1552 2.5248
Ho 3.5925 10.7190 2.5248
Ho 5.3535 1.7968 0.0000
Ho 5.3744 8.9520 0.0000
Ho 7.1354 3.5638 2.5248
```

Properties
- SG = No. 55
- mass density (g/cm3) = 8.1

---

Q.
Entry from Alexandria via LeMat-Bulk: crystalline Pm2NdHo5 at its relaxed geometry (PBE).

extended XYZ file:
```
16
Lattice="8.1657 -4.9587 0.0000 8.1657 4.9587 0.0000 -0.8786 0.0000 6.4314" Properties=species:S:1:pos:R:3 pbc="T T T"
Pm 6.1358 2.5124 5.7011
Pm 8.8778 2.5124 3.9460
Pm 6.5751 -2.5124 2.4854
Pm 9.3171 -2.5124 0.7303
Nd 4.0829 2.4794 0.0000
Nd 3.6436 -2.4794 3.2157
Ho 1.0517 0.8835 4.1307
Ho 1.4910 -0.8835 0.9149
Ho 4.5456 0.8911 3.0793
Ho 4.1063 -0.8911 6.2950
Ho 7.9461 0.5655 1.6079
Ho 7.5068 -0.5655 4.8236
Ho 11.3466 0.8911 0.1364
Ho 10.9073 -0.8911 3.3522
Ho 13.9619 0.8835 5.5165
Ho 14.4012 -0.8835 2.3008
```

Properties
- SG = No. 15
- mass density (g/cm3) = 8.0

---

Relative energies, meV/atom: P 0; Q 154.

---

P.
Entry from Alexandria via LeMat-Bulk: crystalline Pm3Nd3Ho at its relaxed geometry (PBE).

extended XYZ file:
```
14
Lattice="9.7689 0.0000 0.0000 -4.8845 8.4601 0.0000 0.0000 0.0000 5.8612" Properties=species:S:1:pos:R:3 pbc="T T T"
Pm -0.7130 2.0210 1.4653
Pm -2.7777 8.0671 1.4653
Pm 1.3937 1.6280 4.3959
Pm 3.4907 6.8321 1.4653
Pm 7.6621 0.3930 4.3959
Pm 5.5975 6.4391 4.3959
Nd -1.3950 4.0236 4.3959
Nd -0.7024 7.6564 4.3959
Nd 2.7871 3.2199 1.4653
Nd 2.0974 5.2402 4.3959
Nd 5.5868 0.8037 1.4653
Nd 6.2795 4.4365 1.4653
Ho 0.0000 5.6401 1.4653
Ho 4.8845 2.8200 4.3959
```

Properties
- SG = No. 176
- mass density (g/cm3) = 7.1

---

Q.
Entry from Alexandria via LeMat-Bulk: crystalline Pm3Nd3Ho at its relaxed geometry (PBE).

extended XYZ file:
```
14
Lattice="4.3949 2.5374 7.4129 -4.3949 2.5374 7.4129 0.0000 -5.0748 7.4129" Properties=species:S:1:pos:R:3 pbc="T T T"
Pm -0.6722 -2.1564 6.3521
Pm -1.5314 1.6604 6.3521
Pm -2.2036 -0.4960 15.8866
Pm 2.2036 0.4960 6.3521
Pm 1.5314 -1.6604 15.8866
Pm 0.6722 2.1564 15.8866
Nd -1.0204 -1.8284 9.8207
Nd -2.0937 -0.0305 12.4180
Nd -1.0733 1.7979 9.8207
Nd 1.0733 -1.7979 12.4181
Nd 2.0937 0.0305 9.8207
Nd 1.0204 1.8284 12.4181
Ho 0.0000 0.0000 3.4384
Ho 0.0000 0.0000 18.8003
```

Properties
- SG = No. 148
- mass density (g/cm3) = 6.9

---

Relative energies, meV/atom: P 0; Q 194.

---

P.
Entry from Alexandria via LeMat-Bulk: crystalline Pm2NdHo7 at its relaxed geometry (PBE).

extended XYZ file:
```
10
Lattice="9.0770 -2.7285 0.0000 9.0770 2.7285 0.0000 -2.7262 0.0000 6.4919" Properties=species:S:1:pos:R:3 pbc="T T T"
Pm 3.0619 0.0000 1.2911
Pm 12.3659 0.0000 5.2008
Nd -1.3631 0.0000 3.2459
Ho 0.0000 0.0000 0.0000
Ho 1.7254 0.0000 4.5494
Ho 6.7358 0.0000 0.9136
Ho 5.3649 0.0000 4.1724
Ho 10.0629 0.0000 2.3195
Ho 8.6920 0.0000 5.5782
Ho 13.7024 0.0000 1.9424
```

Properties
- SG = No. 12
- mass density (g/cm3) = 8.2

---

Q.
Entry from Alexandria via LeMat-Bulk: crystalline Pm2NdHo7 at its relaxed geometry (PBE).

extended XYZ file:
```
10
Lattice="3.2508 -14.4253 0.0000 3.2508 14.4253 0.0000 0.0000 0.0000 3.5116" Properties=species:S:1:pos:R:3 pbc="T T T"
Pm 3.2508 8.4318 0.0000
Pm 3.2508 -8.4318 0.0000
Nd 3.2508 0.0000 1.7558
Ho 0.0000 0.0000 0.0000
Ho 1.6407 2.8606 0.0000
Ho 3.2508 5.3529 1.7558
Ho 1.6407 -2.8606 0.0000
Ho 4.8609 2.8606 0.0000
Ho 3.2508 -5.3529 1.7558
Ho 4.8609 -2.8606 0.0000
```

Properties
- SG = No. 65
- mass density (g/cm3) = 8.0

---

Relative energies, meV/atom: P 0; Q 117.

---

P.
Entry from Alexandria via LeMat-Bulk: crystalline Pm2Nd4Ho at its relaxed geometry (PBE).

extended XYZ file:
```
7
Lattice="3.0890 -6.5804 0.0000 3.0890 6.5804 0.0000 0.0000 0.0000 6.0379" Properties=species:S:1:pos:R:3 pbc="T T T"
Pm 3.0890 5.1419 0.0000
Pm 3.0890 -5.1419 0.0000
Nd 3.0890 4.0648 3.0190
Nd 3.0890 1.8032 0.0000
Nd 3.0890 -1.8032 0.0000
Nd 3.0890 -4.0648 3.0190
Ho 3.0890 0.0000 3.0190
```

Properties
- SG = No. 65
- mass density (g/cm3) = 7.0

---

Q.
Entry from Alexandria via LeMat-Bulk: crystalline Pm2Nd4Ho at its relaxed geometry (PBE).

extended XYZ file:
```
14
Lattice="7.1756 0.0000 0.0000 -1.8006 8.6028 0.0000 -1.7961 -4.1815 7.8292" Properties=species:S:1:pos:R:3 pbc="T T T"
Pm 0.0000 0.0000 0.0000
Pm -1.7844 5.9785 2.1875
Pm -1.7960 1.4909 6.7665
Pm 3.5794 3.0438 1.1229
Nd 0.0082 3.0457 1.1295
Nd 0.0018 -1.7528 5.6787
Nd 1.7872 0.6021 3.2656
Nd 3.5756 0.0033 0.0017
Nd 1.7694 1.5004 6.7848
Nd 3.5716 -1.7391 5.6874
Nd 3.5723 3.7596 4.4544
Nd 5.3867 0.5827 3.2467
Ho -0.0065 3.7510 4.4612
Ho 1.7810 5.9791 2.1937
```

Properties
- SG = No. 1
- mass density (g/cm3) = 7.1

---

Relative energies, meV/atom: P 381; Q 0.